VASP calculation (PBE) on PrVPt6 after structural relaxation.

Computed properties:
The value obtained for the formation enthalpy at 0 K is -0.499 eV per atom. As for the total DFT energy (no corrections): -6.77 eV/atom.

Cell: 3.911 3.911 9.827 Å, 90.00 90.00 90.00°
Element x y z (fractional)
Pr (0.000, 0.000, 0.000)
V (0.000, 0.000, 0.500)
Pt (0.500, 0.000, 0.666)
Pt (0.000, 0.500, 0.666)
Pt (0.500, 0.500, 0.132)
Pt (0.500, 0.500, 0.868)
Pt (0.000, 0.500, 0.334)
Pt (0.500, 0.000, 0.334)